CaSm2Cd: optimized geometry, PBE.

abc: 4.8418 5.0460 5.0460
angles: 90.00 90.00 90.00
Closest atoms and distances in Å follow each position.
Sites, in units of the cell vectors:
Ca (0.5000, 0.5000, 0.5000)  8 Sm 3.50, 4 Cd 3.57
Cd (0.5000, 0.0000, 0.0000)  8 Sm 3.50, 4 Ca 3.57
Sm (0.0000, 0.5000, 0.0000)  4 Cd 3.50, 4 Ca 3.50, 4 Sm 3.57
Sm (0.0000, 0.0000, 0.5000)  4 Cd 3.50, 4 Ca 3.50, 4 Sm 3.57

Computed properties:
**E**: -3.14 eV/atom
**Crystal system**: tetragonal
**E_form**: -0.05 eV per atom
**Polymorph energy (0 for the lowest one)**: 33 meV/atom
**Theoretical density**: 6.10 Mg/m³

CrCoCu2: optimized geometry, PBE.

abc: 4.4027 4.4027 4.4027
angles: 131.29 131.31 71.33
Closest atoms and distances in Å follow each position.
Sites, in units of the cell vectors:
Co (0.5001, 0.5001, 0.0000)  4 Cr 2.55, 8 Cu 2.55-2.57
Cr (0.2499, 0.7499, 0.5000)  4 Co 2.55, 8 Cu 2.55-2.57
Cu (0.7500, 0.2500, 0.5000)  4 Cu 2.55, 4 Co 2.55, 4 Cr 2.57
Cu (0.0000, 0.0000, 0.0000)  4 Cu 2.55, 4 Cr 2.55, 4 Co 2.57

Computed properties:
**E**: -6.01 eV/atom
**Crystal system**: tetragonal
**E_form**: 0.22 eV per atom
**Theoretical density**: 8.38 Mg/m³

CrMo2Ir: optimized geometry, PBE.

abc: 4.8684 4.8684 4.8684
angles: 133.69 133.69 67.58
Closest atoms and distances in Å follow each position.
Sites, in units of the cell vectors:
Ir (0.7500, 0.2500, 0.5000)  4 Cr 2.71, 8 Mo 2.79
Mo (0.0000, 0.0000, 0.0000)  4 Mo 2.71, 4 Ir 2.79, 4 Cr 2.79
Mo (0.5000, 0.5000, 0.0000)  4 Mo 2.71, 4 Cr 2.79, 4 Ir 2.79
Cr (0.2500, 0.7500, 0.5000)  4 Ir 2.71, 8 Mo 2.79

Computed properties:
**E**: -10.02 eV/atom
**Crystal system**: tetragonal
**E_form**: 0.02 eV per atom
**Polymorph energy (0 for the lowest one)**: 0 meV/atom
**Theoretical density**: 12.21 Mg/m³

Question: Among the records above, which one has the highest E?
Answer: CaSm2Cd

Question: The lowest E belongs to which entry?
Answer: CrMo2Ir

Question: The lowest E_form belongs to which entry?
Answer: CaSm2Cd